Here is Ni3Pt2 after structural relaxation from Alexandria. Energies are from PBE-GGA.

Geometry as POSCAR:
```
Ni3Pt2
1.0
4.646 0.000 0.000
0.000 5.728 0.000
-2.323 -2.864 5.104
Ni Pt
6 4
Cartesian
2.323 1.991 0.783
0.000 0.873 4.321
1.162 0.000 0.000
3.485 0.000 0.000
0.000 3.737 0.783
2.323 -0.873 4.321
0.000 -1.456 3.262
2.323 4.320 1.841
2.323 1.456 3.262
0.000 1.408 1.841
```

Summary:
calculated formation energy	0.117	eV/atom
space-group type	Ibam
total magnetization	6.1	μB/cell
energy relative to the lowest polymorph listed for this composition	0.1699	eV per atom
theoretical density	13.84	g/cm3
electronic total energy	-5.768	eV per atom


Here is NiPt after structural relaxation from Alexandria. Energies are from PBE-GGA.

Geometry as POSCAR:
```
NiPt
1.0
3.660 0.000 0.000
-1.830 3.170 0.000
0.000 0.000 5.395
Ni Pt
2 2
Cartesian
1.830 1.057 4.046
0.000 2.113 1.349
0.000 0.000 2.697
0.000 0.000 0.000
```

Summary:
calculated formation energy	0.350	eV/atom
space-group type	P6_3/mmc
total magnetization	1.3	μB/cell
theoretical density	13.47	g/cm3
electronic total energy	-5.561	eV per atom


Here is NiPt after structural relaxation from Alexandria. Energies are from PBE-GGA.

Geometry as POSCAR:
```
NiPt
1.0
2.708 0.000 0.000
-1.354 8.643 0.001
1.354 -0.212 2.336
Ni Pt
2 2
Cartesian
0.000 6.562 0.597
2.708 8.298 2.325
1.354 4.369 1.183
2.708 1.848 1.738
```

Summary:
calculated formation energy	0.002	eV/atom
space-group type	R-3m
total magnetization	2.0	μB/cell
theoretical density	15.41	g/cm3
electronic total energy	-5.909	eV per atom


Here is NiPt3 after structural relaxation from Alexandria. Energies are from PBE-GGA.

Geometry as POSCAR:
```
NiPt3
1.0
-1.048 4.605 -0.172
-3.553 -3.143 2.414
0.558 0.227 2.674
Ni Pt
1 3
Cartesian
-1.045 4.592 -0.171
-2.028 1.300 3.123
-0.235 2.375 1.253
-1.677 -1.093 1.848
```

Summary:
calculated formation energy	-0.006	eV/atom
space-group type	Imm2
total magnetization	1.7	μB/cell
theoretical density	18.07	g/cm3
electronic total energy	-5.982	eV per atom


Here is NiPt5 after structural relaxation from Alexandria. Energies are from PBE-GGA.

Geometry as POSCAR:
```
NiPt5
1.0
4.385 0.000 1.465
1.662 4.310 2.322
0.728 -0.162 5.116
Pt Ni
5 1
Cartesian
5.471 3.909 5.510
1.772 2.483 1.991
5.002 1.666 6.911
1.304 0.239 3.393
2.192 0.000 0.732
3.387 2.074 4.451
```

Summary:
calculated formation energy	0.122	eV/atom
space-group type	Immm
total magnetization	1.4	μB/cell
theoretical density	18.39	g/cm3
electronic total energy	-5.876	eV per atom


Here is Ni5Pt3 after structural relaxation from Alexandria. Energies are from PBE-GGA.

Geometry as POSCAR:
```
Ni5Pt3
1.0
2.683 0.000 0.000
0.000 2.683 0.000
0.000 0.000 14.298
Pt Ni
3 5
Cartesian
0.000 0.000 7.149
1.342 1.342 12.443
1.342 1.342 1.855
0.000 0.000 0.000
0.000 0.000 3.701
1.342 1.342 5.299
0.000 0.000 10.597
1.342 1.342 8.999
```

Summary:
calculated formation energy	-0.062	eV/atom
space-group type	P4/mmm
total magnetization	4.4	μB/cell
energy relative to the lowest polymorph listed for this composition	0.0107	eV per atom
theoretical density	14.18	g/cm3
electronic total energy	-5.941	eV per atom


Here is NiPt3 after structural relaxation from Alexandria. Energies are from PBE-GGA.

Geometry as POSCAR:
```
NiPt3
1.0
4.768 0.000 0.000
0.000 8.981 0.000
0.000 0.000 5.516
Ni Pt
4 12
Cartesian
1.977 2.245 0.682
0.408 6.736 3.440
4.361 2.245 2.076
2.792 6.736 4.833
2.777 6.736 2.127
1.166 0.030 2.050
1.218 4.521 4.808
3.550 0.030 0.707
1.166 4.461 2.050
0.393 6.736 0.631
3.603 8.952 3.465
1.218 8.952 4.808
1.992 2.245 3.389
4.376 2.245 4.884
3.550 4.461 0.707
3.603 4.521 3.465
```

Summary:
calculated formation energy	-0.027	eV/atom
space-group type	Pnma
total magnetization	7.8	μB/cell
theoretical density	18.11	g/cm3
electronic total energy	-6.003	eV per atom


Here is NiPt2 after structural relaxation from Alexandria. Energies are from PBE-GGA.

Geometry as POSCAR:
```
NiPt2
1.0
-0.856 -3.450 -1.337
4.646 -1.896 -3.476
1.671 -1.624 3.120
Pt Ni
4 2
Cartesian
1.624 -2.970 1.230
2.492 -2.216 -1.273
3.837 -4.000 -2.922
2.969 -4.755 -0.420
5.074 -3.087 -0.679
0.387 -3.884 -1.014
```

Summary:
calculated formation energy	-0.074	eV/atom
space-group type	Cmcm
total magnetization	2.7	μB/cell
theoretical density	17.37	g/cm3
electronic total energy	-6.028	eV per atom


Here is NiPt2 after structural relaxation from Alexandria. Energies are from PBE-GGA.

Geometry as POSCAR:
```
NiPt2
1.0
6.631 0.017 0.000
-0.056 4.750 0.000
0.000 0.000 5.465
Pt Ni
8 4
Cartesian
2.218 1.605 2.725
6.536 2.345 1.367
2.165 1.573 5.457
6.508 4.719 2.732
4.451 3.226 5.464
2.137 3.948 4.106
4.479 0.851 4.099
2.190 3.979 1.374
4.403 3.167 2.735
4.431 0.792 1.364
6.584 2.404 4.096
6.612 0.029 0.002
```

Summary:
calculated formation energy	-0.056	eV/atom
space-group type	P2_1/c
total magnetization	6.2	μB/cell
theoretical density	17.32	g/cm3
electronic total energy	-6.010	eV per atom


Here is Ni3Pt after structural relaxation from Alexandria. Energies are from PBE-GGA.

Geometry as POSCAR:
```
Ni3Pt
1.0
-3.808 0.464 -1.494
-1.043 -1.775 -3.565
-2.603 -3.189 -0.028
Ni Pt
3 1
Cartesian
-3.727 -2.250 -2.544
0.000 0.000 0.000
-1.863 -1.125 -1.272
-5.590 -3.374 -3.816
```

Summary:
calculated formation energy	0.046	eV/atom
space-group type	Fm-3m
total magnetization	1.9	μB/cell
theoretical density	12.49	g/cm3
electronic total energy	-5.800	eV per atom


Here is NiPt2 after structural relaxation from Alexandria. Energies are from PBE-GGA.

Geometry as POSCAR:
```
NiPt2
1.0
5.476 0.000 0.000
0.000 6.646 0.000
-2.738 0.000 4.743
Ni Pt
4 8
Cartesian
-1.334 0.026 2.351
1.334 0.026 2.351
0.000 2.151 1.581
0.000 0.026 0.040
2.738 2.142 1.598
-1.384 2.142 3.943
0.000 4.465 3.140
1.350 4.465 0.801
4.126 4.465 0.801
2.738 6.644 0.000
1.384 2.142 3.943
2.738 4.537 3.162
```

Summary:
calculated formation energy	-0.040	eV/atom
space-group type	P3m1
total magnetization	5.0	μB/cell
theoretical density	17.27	g/cm3
electronic total energy	-5.994	eV per atom


Here is Ni3Pt after structural relaxation from Alexandria. Energies are from PBE-GGA.

Geometry as POSCAR:
```
Ni3Pt
1.0
-2.264 0.764 1.117
-0.110 -3.568 2.219
2.277 1.965 3.272
Ni Pt
3 1
Cartesian
0.716 0.240 4.402
0.024 1.379 2.218
2.253 1.944 3.237
0.707 -1.127 2.205
```

Summary:
calculated formation energy	-0.016	eV/atom
space-group type	Pmm2
total magnetization	2.3	μB/cell
theoretical density	12.51	g/cm3
electronic total energy	-5.862	eV per atom